1.
Crystalline Cd3OsW at its relaxed geometry. Source: Alexandria, functional PBE.

Cell: 5.2024 5.2024 5.2024 Å, 90.00 90.00 90.00°
Space group Pm-3m (No. 221)
Inequivalent atoms, fractional coordinates:
Cd  0.0000  0.0000  0.5000 (multiplicity 3)
Os  0.5000  0.5000  0.5000 (multiplicity 1)
W  0.0000  0.0000  0.0000 (multiplicity 1)

Computed properties:
Total moment   3.98 μB per formula unit
Energy relative to the elements   2374 meV per atom

=====

2.
Crystalline ZrBeSb2 at its relaxed geometry. Source: Alexandria, functional PBE.

Cell: 3.7614 3.7614 22.1728 Å, 90.00 90.00 120.00°
Space group R3m (No. 160, hexagonal axes)
Inequivalent atoms, fractional coordinates:
Zr  0.0000  0.0000  0.0000 (multiplicity 3)
Be  0.0000  0.0000  0.7311 (multiplicity 3)
Sb  0.0000  0.0000  0.2371 (multiplicity 3)
Sb  0.0000  0.0000  0.4410 (multiplicity 3)

Computed properties:
Total moment   0.00 μB per formula unit
Electronic total energy   -62.714 eV for the cell shown

=====

3.
Crystalline RbYPb at its relaxed geometry. Source: Alexandria, functional PBE.

Cell: 4.4249 14.7038 7.9151 Å, 90.00 90.00 90.00°
Space group Cmcm (No. 63)
Inequivalent atoms, fractional coordinates:
Rb  0.0000  0.2154  0.2500 (multiplicity 4)
Y  0.0000  0.5000  0.0000 (multiplicity 4)
Pb  0.0000  0.0706  0.7500 (multiplicity 4)

Computed properties:
Total moment   0.11 μB per formula unit
Energy relative to the elements   -126 meV per atom

=====

4.
Crystalline Pr8NdTm5 at its relaxed geometry. Source: Alexandria, functional PBE.

Cell: 8.5792 8.6512 8.7129 Å, 113.09 98.21 117.02°
Space group P1 (No. 1)
Inequivalent atoms, fractional coordinates:
Pr  0.0000  0.0000  0.0000 (multiplicity 1)
Pr  0.0119  0.4077  0.8084 (multiplicity 1)
Pr  0.3754  0.2703  0.8474 (multiplicity 1)
Pr  0.4153  0.0021  0.4366 (multiplicity 1)
Pr  0.5312  0.7600  0.0570 (multiplicity 1)
Pr  0.6752  0.5383  0.6817 (multiplicity 1)
Pr  0.7954  0.8891  0.5103 (multiplicity 1)
Pr  0.8499  0.2771  0.3065 (multiplicity 1)
Nd  0.4800  0.2761  0.2196 (multiplicity 1)
Tm  0.1255  0.7554  0.6299 (multiplicity 1)
Tm  0.1832  0.2357  0.4655 (multiplicity 1)
Tm  0.2661  0.5282  0.2692 (multiplicity 1)
Tm  0.6167  0.0417  0.8442 (multiplicity 1)
Tm  0.8951  0.6300  0.1620 (multiplicity 1)

Computed properties:
Total moment   0.00 μB per formula unit
Energy relative to the elements   162 meV per atom

=====

5.
Crystalline ThScNbTc at its relaxed geometry. Source: Alexandria, functional PBE.

Cell: 6.8876 6.8876 6.8876 Å, 90.00 90.00 90.00°
Space group F-43m (No. 216)
Inequivalent atoms, fractional coordinates:
Th  0.0000  0.0000  0.0000 (multiplicity 4)
Sc  0.0000  0.0000  0.5000 (multiplicity 4)
Nb  0.2500  0.2500  0.7500 (multiplicity 4)
Tc  0.2500  0.2500  0.2500 (multiplicity 4)

Computed properties:
Total moment   0.00 μB per formula unit
Energy relative to the elements   54 meV per atom

=====

6.
Crystalline Pm5Ga2Te at its relaxed geometry. Source: Alexandria, functional PBE.

Cell: 8.3674 8.3674 13.0208 Å, 90.00 90.00 90.00°
Space group I4/mcm (No. 140)
Inequivalent atoms, fractional coordinates:
Pm  0.0000  0.0000  0.0000 (multiplicity 4)
Pm  0.1552  0.3448  0.1431 (multiplicity 16)
Ga  0.1456  0.3544  0.5000 (multiplicity 8)
Te  0.0000  0.0000  0.2500 (multiplicity 4)

Computed properties:
Total moment   0.00 μB per formula unit
Electronic total energy   -152.831 eV for the cell shown

=====

7.
Crystalline K2LiTl5Cd2 at its relaxed geometry. Source: Alexandria, functional PBE.

Cell: 12.3516 12.3516 3.9999 Å, 90.00 90.00 90.00°
Space group P4/mbm (No. 127)
Inequivalent atoms, fractional coordinates:
K  0.1732  0.3268  0.0000 (multiplicity 4)
Li  0.0000  0.0000  0.0000 (multiplicity 2)
Tl  0.0000  0.5000  0.5000 (multiplicity 2)
Tl  0.0559  0.8166  0.5000 (multiplicity 8)
Cd  0.1336  0.6336  0.0000 (multiplicity 4)

Computed properties:
Total moment   0.00 μB per formula unit
Energy relative to the elements   -72 meV per atom

=====

8.
Crystalline TlAg3P at its relaxed geometry. Source: Alexandria, functional PBE.

Cell: 4.8862 4.8862 4.8862 Å, 90.00 90.00 90.00°
Space group Pm-3m (No. 221)
Inequivalent atoms, fractional coordinates:
Tl  0.0000  0.0000  0.0000 (multiplicity 1)
Ag  0.0000  0.5000  0.5000 (multiplicity 3)
P  0.5000  0.5000  0.5000 (multiplicity 1)

Computed properties:
Total moment   0.00 μB per formula unit
Energy relative to the elements   166 meV per atom

=====

9.
Crystalline AgPRh3 at its relaxed geometry. Source: Alexandria, functional PBE.

Cell: 4.7815 4.7815 4.7815 Å, 90.00 90.00 90.00°
Space group Pm-3m (No. 221)
Inequivalent atoms, fractional coordinates:
Ag  0.0000  0.0000  0.0000 (multiplicity 1)
P  0.5000  0.5000  0.5000 (multiplicity 1)
Rh  0.0000  0.0000  0.5000 (multiplicity 3)

Computed properties:
Total moment   2.19 μB per formula unit
Energy relative to the elements   1990 meV per atom

=====

10.
Crystalline CaTe2IF at its relaxed geometry. Source: Alexandria, functional PBE.

Cell: 4.7546 4.7546 6.4826 Å, 90.00 90.00 90.00°
Space group P4/mmm (No. 123)
Inequivalent atoms, fractional coordinates:
Ca  0.0000  0.0000  0.0000 (multiplicity 1)
Te  0.0000  0.5000  0.5000 (multiplicity 2)
I  0.5000  0.5000  0.0000 (multiplicity 1)
F  0.5000  0.5000  0.5000 (multiplicity 1)

Computed properties:
Total moment   0.00 μB per formula unit
Electronic total energy   -15.727 eV for the cell shown

=====

11.
Crystalline Ce4TcPb5 at its relaxed geometry. Source: Alexandria, functional PBE.

Cell: 15.7406 4.5421 8.5033 Å, 90.00 107.37 90.00°
Space group C2/m (No. 12)
Inequivalent atoms, fractional coordinates:
Ce  0.0534  0.0000  0.3229 (multiplicity 4)
Ce  0.1502  0.5000  0.7232 (multiplicity 4)
Tc  0.0000  0.5000  0.5000 (multiplicity 2)
Pb  0.0000  0.5000  0.0000 (multiplicity 2)
Pb  0.1534  0.0000  0.0047 (multiplicity 4)
Pb  0.2170  0.5000  0.3586 (multiplicity 4)

Computed properties:
Total moment   1.14 μB per formula unit
Energy relative to the elements   -223 meV per atom

=====

12.
Crystalline Tb12Cu6Hg at its relaxed geometry. Source: Alexandria, functional PBE.

Cell: 9.8712 9.8712 9.8712 Å, 90.00 90.00 90.00°
Space group Im-3 (No. 204)
Inequivalent atoms, fractional coordinates:
Tb  0.0000  0.2953  0.1888 (multiplicity 24)
Cu  0.0000  0.1241  0.5000 (multiplicity 12)
Hg  0.0000  0.0000  0.0000 (multiplicity 2)

Computed properties:
Total moment   0.00 μB per formula unit
Energy relative to the elements   -183 meV per atom